1.
Entry from the Alexandria database: BeZnSn2Bi after structural relaxation (PBE).

Computed properties:
energy relative to the elements	10.35	kcal/mol of atoms
space-group type	P4/mmm (123)
DFT total energy	-14.64	eV/cell

a b c (Å): 4.972 5.110 4.972
angles (deg): 90.00 90.00 90.00
Element x y z (fractional)
Be (0.000, 0.000, 0.000)
Zn (0.500, 0.500, 0.500)
Bi (0.000, 0.500, 0.000)
Sn (0.000, 0.000, 0.500)
Sn (0.500, 0.000, 0.000)

2.
Entry from the Alexandria database: Tm3Si6Ni2Au after structural relaxation (PBE).

Computed properties:
formation energy (no corrections)	-0.262	eV per atom
space-group type	P-3m1 (164)
DFT total energy	-63.94	eV/cell

a b c (Å): 5.527 5.527 8.218
angles (deg): 90.00 90.00 120.00
Element x y z (fractional)
Tm (0.333, 0.667, 0.592)
Tm (0.667, 0.333, 0.408)
Tm (0.000, 0.000, 0.000)
Si (0.627, 0.814, 0.266)
Si (0.186, 0.373, 0.266)
Si (0.186, 0.814, 0.266)
Si (0.814, 0.627, 0.734)
Si (0.373, 0.186, 0.734)
Si (0.814, 0.186, 0.734)
Ni (0.667, 0.333, 0.962)
Ni (0.333, 0.667, 0.038)
Au (0.000, 0.000, 0.500)

3.
Entry from the Alexandria database: Cr2SbBr after structural relaxation (PBE).

Computed properties:
formation energy (no corrections)	0.154	eV per atom
relative energy among the computed polymorphs	0.077	eV per atom
space-group type	Cm (8)
DFT total energy	-24.43	eV/cell

a b c (Å): 7.374 7.374 3.917
angles (deg): 77.12 77.12 29.86
Element x y z (fractional)
Br (0.198, 0.198, 0.978)
Cr (0.009, 0.009, 0.105)
Cr (0.825, 0.825, 0.780)
Sb (0.469, 0.469, 0.637)

4.
Entry from the Alexandria database: BiRhSe2 after structural relaxation (PBE).

Computed properties:
formation energy (no corrections)	-0.235	eV per atom
space-group type	P1 (1)
DFT total energy	-38.29	eV/cell

a b c (Å): 8.584 3.795 6.069
angles (deg): 89.93 101.05 102.76
Element x y z (fractional)
Rh (0.876, 0.459, 0.669)
Rh (0.526, 0.784, 0.008)
Bi (0.771, 0.406, 0.181)
Bi (0.127, 0.084, 0.095)
Se (0.362, 0.701, 0.305)
Se (0.372, 0.207, 0.812)
Se (0.692, 0.867, 0.704)
Se (0.037, 0.040, 0.559)

5.
Entry from the Alexandria database: AcInCo after structural relaxation (PBE).

Computed properties:
energy relative to the elements	-5.46	kcal/mol of atoms
relative energy among the computed polymorphs	0.000	eV per atom
space-group type	C2/m (12)
DFT total energy	-29.33	eV/cell

a b c (Å): 4.496 5.428 6.592
angles (deg): 100.17 109.94 90.00
Element x y z (fractional)
Ac (0.129, 0.314, 0.259)
Ac (0.871, 0.686, 0.741)
In (0.407, 0.197, 0.813)
In (0.593, 0.803, 0.187)
Co (0.212, 0.884, 0.424)
Co (0.788, 0.116, 0.576)

6.
Entry from the Alexandria database: RbAs after structural relaxation (PBE).

Computed properties:
energy relative to the elements	-7.73	kcal/mol of atoms
relative energy among the computed polymorphs	0.098	eV per atom
space-group type	I4/mmm (139)
DFT total energy	-50.30	eV/cell

a b c (Å): 12.783 12.783 4.455
angles (deg): 90.00 90.00 90.00
Element x y z (fractional)
Rb (0.500, 0.253, 0.000)
Rb (0.500, 0.747, 0.000)
Rb (0.747, 0.500, 0.000)
Rb (0.253, 0.500, 0.000)
Rb (0.000, 0.753, 0.500)
Rb (0.000, 0.247, 0.500)
Rb (0.247, 0.000, 0.500)
Rb (0.753, 0.000, 0.500)
As (0.216, 0.784, 0.000)
As (0.784, 0.216, 0.000)
As (0.216, 0.216, 0.000)
As (0.784, 0.784, 0.000)
As (0.716, 0.284, 0.500)
As (0.284, 0.716, 0.500)
As (0.716, 0.716, 0.500)
As (0.284, 0.284, 0.500)

7.
Entry from the Alexandria database: TcHgF2 after structural relaxation (PBE).

Computed properties:
formation energy (no corrections)	-0.987	eV per atom
relative energy among the computed polymorphs	0.000	eV per atom
space-group type	R-3m (166)
DFT total energy	-18.36	eV/cell

a b c (Å): 9.184 9.184 9.184
angles (deg): 17.70 17.70 17.70
Element x y z (fractional)
F (0.929, 0.929, 0.929)
F (0.071, 0.071, 0.071)
Hg (0.500, 0.500, 0.500)
Tc (0.000, 0.000, 0.000)

8.
Entry from the Alexandria database: CsLi4Cu3Br12 after structural relaxation (PBE).

Computed properties:
formation energy (no corrections)	-0.864	eV per atom
space-group type	Im-3 (204)
DFT total energy	-58.14	eV/cell

a b c (Å): 8.803 8.803 8.803
angles (deg): 109.47 109.47 109.47
Element x y z (fractional)
Cs (0.000, 0.000, 0.000)
Li (0.500, 0.000, 0.000)
Li (0.500, 0.500, 0.500)
Li (0.000, 0.500, 0.000)
Li (0.000, 0.000, 0.500)
Cu (0.000, 0.500, 0.500)
Cu (0.500, 0.500, 0.000)
Cu (0.500, 0.000, 0.500)
Br (0.329, 0.833, 0.162)
Br (0.671, 0.167, 0.838)
Br (0.671, 0.833, 0.504)
Br (0.838, 0.671, 0.167)
Br (0.833, 0.162, 0.329)
Br (0.167, 0.496, 0.329)
Br (0.496, 0.329, 0.167)
Br (0.167, 0.838, 0.671)
Br (0.329, 0.167, 0.496)
Br (0.162, 0.329, 0.833)
Br (0.833, 0.504, 0.671)
Br (0.504, 0.671, 0.833)

9.
Entry from the Alexandria database: Tb4GeTeSe2 after structural relaxation (PBE).

Computed properties:
formation energy (no corrections)	-1.503	eV per atom
space-group type	P2/m (10)
DFT total energy	-45.27	eV/cell

a b c (Å): 4.186 7.206 7.370
angles (deg): 70.60 90.00 90.00
Element x y z (fractional)
Tb (0.000, 0.758, 0.725)
Tb (0.000, 0.242, 0.275)
Tb (0.500, 0.745, 0.268)
Tb (0.500, 0.255, 0.732)
Ge (0.000, 0.500, 0.500)
Te (0.500, 0.500, 0.000)
Se (0.000, 0.000, 0.000)
Se (0.500, 0.000, 0.500)

10.
Entry from the Alexandria database: SrCa2AgS after structural relaxation (PBE).

Computed properties:
formation energy (no corrections)	-0.181	eV per atom
space-group type	P4/mmm (123)
DFT total energy	-13.57	eV/cell

a b c (Å): 5.561 6.006 5.561
angles (deg): 90.00 90.00 90.00
Element x y z (fractional)
Sr (0.000, 0.500, 0.000)
Ca (0.000, 0.000, 0.500)
Ca (0.500, 0.000, 0.000)
S (0.500, 0.500, 0.500)
Ag (0.000, 0.000, 0.000)

11.
Entry from the Alexandria database: CaIrCl4 after structural relaxation (PBE).

Computed properties:
formation energy (no corrections)	0.464	eV per atom
space-group type	F-43m (216)
DFT total energy	-15.47	eV/cell

a b c (Å): 5.876 5.876 5.876
angles (deg): 60.00 60.00 60.00
Element x y z (fractional)
Ca (0.000, 0.000, 0.000)
Ir (0.750, 0.750, 0.750)
Cl (0.872, 0.376, 0.376)
Cl (0.376, 0.376, 0.872)
Cl (0.376, 0.872, 0.376)
Cl (0.376, 0.376, 0.376)

12.
Entry from the Alexandria database: La2HfAg after structural relaxation (PBE).

Computed properties:
energy relative to the elements	7.86	kcal/mol of atoms
relative energy among the computed polymorphs	0.320	eV per atom
space-group type	R-3m (166)
DFT total energy	-21.30	eV/cell

a b c (Å): 3.265 3.265 11.813
angles (deg): 82.06 82.06 60.00
Element x y z (fractional)
Hf (0.000, 0.000, 0.000)
Ag (0.500, 0.500, 0.500)
La (0.088, 0.088, 0.736)
La (0.912, 0.912, 0.264)